[1]
DFT (PBE-GGA) results for a relaxed structure of Na3CaU3Se8.

Cell: 8.4910 8.4910 8.4910 Å, 58.71 58.71 58.71°
Positions (direct):
Na 0.0000 0.5000 0.5000
Na 0.5000 0.0000 0.5000
Na 0.5000 0.5000 0.0000
Ca 0.5000 0.5000 0.5000
U 0.0000 0.0000 0.5000
U 0.0000 0.5000 0.0000
U 0.5000 0.0000 0.0000
Se 0.2309 0.7483 0.7483
Se 0.2444 0.2444 0.2444
Se 0.2517 0.2517 0.7691
Se 0.2517 0.7691 0.2517
Se 0.7483 0.2309 0.7483
Se 0.7483 0.7483 0.2309
Se 0.7556 0.7556 0.7556
Se 0.7691 0.2517 0.2517

Calculated values
Uncorrected formation energy = -1295 meV/atom
Electronic total energy = -87.127 eV for the cell shown
Space group = R-3m, No. 166

=====

[2]
DFT (PBE-GGA) results for a relaxed structure of Dy6Ag5Au.

Cell: 8.1507 8.1507 7.2013 Å, 90.00 90.00 143.18°
Positions (direct):
Dy 0.0000 0.0000 0.2464
Dy 0.0000 0.0000 0.7536
Dy 0.3352 0.6648 0.2491
Dy 0.3352 0.6648 0.7509
Dy 0.6648 0.3352 0.2491
Dy 0.6648 0.3352 0.7509
Ag 0.1666 0.8334 0.5000
Ag 0.1714 0.8286 0.0000
Ag 0.5000 0.5000 0.5000
Ag 0.8286 0.1714 0.0000
Ag 0.8334 0.1666 0.5000
Au 0.5000 0.5000 0.0000

Calculated values
Formation energy = -0.418 eV per atom
Electronic total energy = -50.159 eV for the cell shown
Space group = Cmmm, No. 65

=====

[3]
DFT (PBE-GGA) results for a relaxed structure of Rb3Be5F12.

Cell: 10.9620 10.9620 10.9620 Å, 109.47 109.47 109.47°
Positions (direct):
Rb 0.1250 0.2500 0.3750
Rb 0.1250 0.3750 0.7500
Rb 0.2500 0.3750 0.1250
Rb 0.2500 0.8750 0.6250
Rb 0.3750 0.1250 0.2500
Rb 0.3750 0.7500 0.1250
Rb 0.6250 0.2500 0.8750
Rb 0.6250 0.8750 0.7500
Rb 0.7500 0.1250 0.3750
Rb 0.7500 0.6250 0.8750
Rb 0.8750 0.6250 0.2500
Rb 0.8750 0.7500 0.6250
Be 0.0000 0.0000 0.0000
Be 0.0000 0.0000 0.5000
Be 0.0000 0.5000 0.0000
Be 0.0000 0.5000 0.5000
Be 0.1250 0.7500 0.8750
Be 0.1250 0.8750 0.2500
Be 0.2500 0.1250 0.8750
Be 0.2500 0.6250 0.3750
Be 0.3750 0.2500 0.6250
Be 0.3750 0.6250 0.7500
Be 0.5000 0.0000 0.0000
Be 0.5000 0.0000 0.5000
Be 0.5000 0.5000 0.0000
Be 0.5000 0.5000 0.5000
Be 0.6250 0.3750 0.2500
Be 0.6250 0.7500 0.3750
Be 0.7500 0.3750 0.6250
Be 0.7500 0.8750 0.1250
Be 0.8750 0.1250 0.7500
Be 0.8750 0.2500 0.1250
F 0.0240 0.7008 0.1192
F 0.0240 0.8232 0.9048
F 0.0816 0.6768 0.7008
F 0.0816 0.9048 0.3808
F 0.0952 0.6192 0.9184
F 0.0952 0.9760 0.1768
F 0.1192 0.0240 0.7008
F 0.1192 0.5952 0.4184
F 0.1768 0.0952 0.9760
F 0.1768 0.5816 0.2008
F 0.2008 0.1768 0.5816
F 0.2008 0.5240 0.6192
F 0.2992 0.8808 0.9760
F 0.2992 0.9184 0.3232
F 0.3232 0.2992 0.9184
F 0.3232 0.5240 0.4048
F 0.3808 0.0816 0.9048
F 0.3808 0.7992 0.4760
F 0.4048 0.3232 0.5240
F 0.4048 0.5816 0.8808
F 0.4184 0.1192 0.5952
F 0.4184 0.7992 0.8232
F 0.4760 0.3808 0.7992
F 0.4760 0.5952 0.6768
F 0.5240 0.4048 0.3232
F 0.5240 0.6192 0.2008
F 0.5816 0.2008 0.1768
F 0.5816 0.8808 0.4048
F 0.5952 0.4184 0.1192
F 0.5952 0.6768 0.4760
F 0.6192 0.2008 0.5240
F 0.6192 0.9184 0.0952
F 0.6768 0.4760 0.5952
F 0.6768 0.7008 0.0816
F 0.7008 0.0816 0.6768
F 0.7008 0.1192 0.0240
F 0.7992 0.4760 0.3808
F 0.7992 0.8232 0.4184
F 0.8232 0.4184 0.7992
F 0.8232 0.9048 0.0240
F 0.8808 0.4048 0.5816
F 0.8808 0.9760 0.2992
F 0.9048 0.0240 0.8232
F 0.9048 0.3808 0.0816
F 0.9184 0.0952 0.6192
F 0.9184 0.3232 0.2992
F 0.9760 0.1768 0.0952
F 0.9760 0.2992 0.8808

Calculated values
Uncorrected formation energy = -2639 meV/atom
Electronic total energy = -387.056 eV for the cell shown
Space group = Ia-3d, No. 230

=====

[4]
DFT (PBE-GGA) results for a relaxed structure of LaIr2Se.

Cell: 9.3035 9.3035 9.3035 Å, 19.09 19.09 19.09°
Positions (direct):
La 0.0000 0.0000 0.0000
Ir 0.2391 0.2391 0.2391
Ir 0.7609 0.7609 0.7609
Se 0.5000 0.5000 0.5000

Calculated values
Uncorrected formation energy = 359 meV/atom
Distance to the lowest polymorph of the same formula = 913 meV per atom
Electronic total energy = -24.700 eV for the cell shown
Space group = R-3m, No. 166

=====

[5]
DFT (PBE-GGA) results for a relaxed structure of NiIr2Rh.

Cell: 4.6552 4.6552 4.6552 Å, 131.95 131.95 70.31°
Positions (direct):
Ni 0.0000 0.0000 0.0000
Ir 0.2500 0.7500 0.5000
Ir 0.7500 0.2500 0.5000
Rh 0.5000 0.5000 0.0000

Calculated values
Formation energy = 0.028 eV per atom
Electronic total energy = -30.742 eV for the cell shown
Space group = I4/mmm, No. 139

=====

[6]
DFT (PBE-GGA) results for a relaxed structure of NdEuNiGe.

Cell: 5.1070 5.1070 5.1070 Å, 60.00 60.00 60.00°
Positions (direct):
Nd 0.0000 0.0000 0.0000
Eu 0.5000 0.5000 0.5000
Ni 0.7500 0.7500 0.7500
Ge 0.2500 0.2500 0.2500

Calculated values
Formation energy = -0.362 eV per atom
Electronic total energy = -26.887 eV for the cell shown
Space group = F-43m, No. 216

=====

[7]
DFT (PBE-GGA) results for a relaxed structure of CaMn2Os.

Cell: 9.5606 9.5606 9.5606 Å, 17.53 17.53 17.53°
Positions (direct):
Ca 0.0000 0.0000 0.0000
Mn 0.2383 0.2383 0.2383
Mn 0.7617 0.7617 0.7617
Os 0.5000 0.5000 0.5000

Calculated values
Formation energy = 0.697 eV per atom
Distance to the lowest polymorph of the same formula = 377 meV per atom
Electronic total energy = -28.784 eV for the cell shown
Space group = R-3m, No. 166

=====

[8]
DFT (PBE-GGA) results for a relaxed structure of Ca3FeC.

Cell: 4.9797 4.9797 4.9797 Å, 90.00 90.00 90.00°
Positions (direct):
Ca 0.0000 0.0000 0.5000
Ca 0.0000 0.5000 0.0000
Ca 0.5000 0.0000 0.0000
Fe 0.5000 0.5000 0.5000
C 0.0000 0.0000 0.0000

Calculated values
Formation energy = 0.794 eV per atom
Distance to the lowest polymorph of the same formula = 0 meV per atom
Electronic total energy = -19.722 eV for the cell shown
Space group = Pm-3m, No. 221

=====

[9]
DFT (PBE-GGA) results for a relaxed structure of CoTcNi2.

Cell: 8.3876 8.3876 8.3876 Å, 17.80 17.80 17.80°
Positions (direct):
Co 0.0000 0.0000 0.0000
Tc 0.1660 0.1660 0.1660
Ni 0.4137 0.4137 0.4137
Ni 0.5855 0.5855 0.5855

Calculated values
Formation energy = 0.103 eV per atom
Distance to the lowest polymorph of the same formula = 69 meV per atom
Electronic total energy = -28.623 eV for the cell shown
Space group = R3m, No. 160

=====

[10]
DFT (PBE-GGA) results for a relaxed structure of Sr2Mn3.

Cell: 11.7242 6.4277 13.0836 Å, 63.50 29.38 87.11°
Positions (direct):
Sr 0.2806 0.7194 0.3721
Sr 0.6221 0.8779 0.5306
Sr 0.7194 0.2806 0.6279
Sr 0.8779 0.6221 0.9694
Mn 0.1244 0.1459 0.4712
Mn 0.1459 0.1244 0.2586
Mn 0.3814 0.3814 0.6186
Mn 0.6314 0.6314 0.8686
Mn 0.7788 0.9914 0.1256
Mn 0.9914 0.7788 0.1041

Calculated values
Formation energy = 0.583 eV per atom
Electronic total energy = -55.915 eV for the cell shown
Space group = Fdd2, No. 43

=====

[11]
DFT (PBE-GGA) results for a relaxed structure of DyNi6Pt6.

Cell: 6.6188 6.6188 6.6188 Å, 136.00 98.98 97.16°
Positions (direct):
Dy 0.0000 0.0000 0.0000
Ni 0.0000 0.0000 0.5000
Ni 0.0000 0.5000 0.0000
Ni 0.2338 0.7338 0.5000
Ni 0.5000 0.0000 0.0000
Ni 0.5000 0.5000 0.5000
Ni 0.7662 0.2662 0.5000
Pt 0.1968 0.5000 0.6968
Pt 0.3420 0.3420 0.0000
Pt 0.3425 0.0000 0.3425
Pt 0.6575 0.0000 0.6575
Pt 0.6580 0.6580 0.0000
Pt 0.8032 0.5000 0.3032

Calculated values
Formation energy = -0.325 eV per atom
Electronic total energy = -79.756 eV for the cell shown
Space group = Immm, No. 71

=====

[12]
DFT (PBE-GGA) results for a relaxed structure of Be2TlPb.

Cell: 6.0100 6.0100 6.0100 Å, 142.33 142.33 54.33°
Positions (direct):
Be 0.0000 0.0000 0.0000
Be 0.7500 0.2500 0.5000
Tl 0.5000 0.5000 0.0000
Pb 0.2500 0.7500 0.5000

Calculated values
Formation energy = 0.820 eV per atom
Distance to the lowest polymorph of the same formula = 308 meV per atom
Electronic total energy = -10.246 eV for the cell shown
Space group = I-4m2, No. 119

=====

[13]
DFT (PBE-GGA) results for a relaxed structure of Dy2Pu3NpS6.

Cell: 8.8067 8.8067 7.8869 Å, 103.49 103.49 25.62°
Positions (direct):
Dy 0.1645 0.1645 0.3284
Dy 0.8355 0.8355 0.6716
Pu 0.1663 0.1663 0.8331
Pu 0.5000 0.5000 0.5000
Pu 0.8337 0.8337 0.1669
Np 0.5000 0.5000 0.0000
S 0.0004 0.0004 0.2493
S 0.9996 0.9996 0.7507
S 0.3317 0.3317 0.4194
S 0.3326 0.3326 0.9153
S 0.6674 0.6674 0.0847
S 0.6683 0.6683 0.5806

Calculated values
Uncorrected formation energy = -1784 meV/atom
Electronic total energy = -111.308 eV for the cell shown
Space group = C2/m, No. 12